Record 1
TeIrRh2, optimized geometry, DFT GGA-PBE; mass density = 13.21 g/cm³; DFT total energy = -6.438 eV/atom; ΔE_f (raw) = 0.24 eV/atom; crystal system = tetragonal
1.0
3.4119 0.0000 0.0000
0.0000 3.4119 0.0000
0.0000 0.0000 5.6746
Rh Ir Te
2 1 1
direct
0.0000 0.0000 0.9911
0.5000 0.5000 0.2395
0.5000 0.5000 0.7796
0.0000 0.0000 0.4898


Record 2
ScPF2, optimized geometry, DFT GGA-PBE; mass density = 3.56 g/cm³; DFT total energy = -5.243 eV/atom; ΔE_f (raw) = -1.37 eV/atom; crystal system = cubic
1.0
0.0000 2.9832 2.9832
2.9832 0.0000 2.9832
2.9832 2.9832 0.0000
F Sc P
2 1 1
direct
0.7500 0.7500 0.7500
0.2500 0.2500 0.2500
0.5000 0.5000 0.5000
0.0000 0.0000 0.0000


Record 3
SrBW3, optimized geometry, DFT GGA-PBE; mass density = 9.86 g/cm³; DFT total energy = -4.862 eV/atom; calculated formation energy = 4582 meV per atom; crystal system = cubic
1.0
4.7829 0.0000 0.0000
0.0000 4.7829 0.0000
0.0000 0.0000 4.7829
W B Sr
3 1 1
direct
0.5000 0.0000 0.0000
0.0000 0.0000 0.5000
0.0000 0.5000 0.0000
0.5000 0.5000 0.5000
0.0000 0.0000 0.0000


Record 4
BaTaOs2, optimized geometry, DFT GGA-PBE; mass density = 15.14 g/cm³; DFT total energy = -7.665 eV/atom; calculated formation energy = 1394 meV per atom; crystal system = orthorhombic
1.0
-2.4346 -1.9116 0.5532
2.7929 -3.9491 -1.3551
1.4672 -0.5390 4.5949
Os Ba Ta
2 1 1
direct
0.5000 0.5000 0.0000
0.0000 0.0000 0.0000
0.0000 0.5000 0.5000
0.5000 0.0000 0.5000


Record 5
NaGa3Rh, optimized geometry, DFT GGA-PBE; mass density = 6.02 g/cm³; DFT total energy = -3.824 eV/atom; calculated formation energy = -274 meV per atom; crystal system = monoclinic
1.0
5.3036 0.0000 0.0000
0.0000 8.8127 -1.5890
0.0000 -0.5215 8.0062
Ga Na Rh
12 4 4
direct
0.0700 0.8639 0.7607
0.6053 0.9335 0.3585
0.8947 0.4335 0.3585
0.4300 0.3639 0.7607
0.5700 0.6361 0.2393
0.3947 0.0665 0.6415
0.6601 0.0848 0.9239
0.8399 0.5848 0.9239
0.9300 0.1361 0.2393
0.1601 0.4152 0.0761
0.3399 0.9152 0.0761
0.1053 0.5665 0.6415
0.9108 0.2230 0.6392
0.4108 0.2770 0.3608
0.5892 0.7230 0.6392
0.0892 0.7770 0.3608
0.8413 0.8708 0.0439
0.6587 0.3708 0.0439
0.3413 0.6292 0.9561
0.1587 0.1292 0.9561


Record 6
Pm2Dy2Th3, optimized geometry, DFT GGA-PBE; mass density = 9.39 g/cm³; DFT total energy = -5.775 eV/atom; calculated formation energy = 77 meV per atom; crystal system = orthorhombic
1.0
-3.1671 -1.3846 0.7787
1.4414 -1.7694 2.7161
-1.9121 14.9586 10.7596
Th Pm Dy
3 2 2
direct
0.0000 0.0000 0.0000
0.4314 0.5000 0.8628
0.5686 0.5000 0.1372
0.2920 0.5000 0.5840
0.7080 0.5000 0.4160
0.8626 0.0000 0.7252
0.1374 0.0000 0.2748


Record 7
CrNiPt, optimized geometry, DFT GGA-PBE; mass density = 13.24 g/cm³; DFT total energy = -7.236 eV/atom; calculated formation energy = -88 meV per atom; crystal system = tetragonal
1.0
5.7226 -0.0192 0.0202
5.1112 2.5736 0.0142
0.6114 0.1501 2.5884
Ni Pt Cr
1 1 1
direct
0.3445 0.3444 0.6555
0.6633 0.6633 0.3367
0.9922 0.9922 0.0078


Record 8
KYNi2, optimized geometry, DFT GGA-PBE; mass density = 4.24 g/cm³; DFT total energy = -4.401 eV/atom; calculated formation energy = 380 meV per atom; crystal system = monoclinic
1.0
-0.6863 3.2222 2.2208
-1.9080 0.4504 3.4558
6.5351 -0.6956 4.9037
Y Ni K
1 2 1
direct
0.2500 0.2500 0.2500
0.9862 0.9862 0.0492
0.5138 0.5138 0.4508
0.7500 0.7500 0.7500


Record 9
Ag3As, optimized geometry, DFT GGA-PBE; mass density = 8.98 g/cm³; DFT total energy = -3.158 eV/atom; calculated formation energy = 143 meV per atom; crystal system = trigonal
1.0
-0.7551 -9.2319 -1.3425
0.9636 -9.2363 1.1671
-2.0619 -9.0221 1.3962
Ag As
3 1
direct
0.5000 0.5000 0.5000
0.7489 0.7489 0.7489
0.2511 0.2511 0.2511
0.0000 0.0000 0.0000


Record 10
Hg2H2Pd, optimized geometry, DFT GGA-PBE; mass density = 9.34 g/cm³; DFT total energy = -2.364 eV/atom; crystal system = monoclinic
1.0
-3.2214 -0.5617 -4.4496
-2.5940 -5.9374 1.9312
-5.2109 2.0444 0.0882
H Hg Pd
4 4 2
direct
0.1764 0.6342 0.0000
0.8236 0.3658 0.0000
0.0402 0.7011 0.0000
0.9598 0.2989 0.0000
0.4348 0.7933 0.3230
0.5652 0.2067 0.6770
0.2422 0.2067 0.3230
0.7578 0.7933 0.6770
0.1506 0.5000 0.6989
0.8494 0.5000 0.3011


Record 11
KScN, optimized geometry, DFT GGA-PBE; mass density = 2.17 g/cm³; DFT total energy = -5.946 eV/atom; ΔE_f (raw) = -0.69 eV/atom; crystal system = monoclinic
1.0
3.4994 0.0000 0.0000
0.0000 6.6725 0.5463
0.0000 -0.9606 6.3494
Sc N K
2 2 2
direct
0.2500 0.9241 0.8243
0.7500 0.0759 0.1757
0.7500 0.8272 0.9637
0.2500 0.1728 0.0363
0.2500 0.5976 0.2321
0.7500 0.4024 0.7679


Record 12
SrLaCd2Rh, optimized geometry, DFT GGA-PBE; mass density = 6.01 g/cm³; DFT total energy = -3.506 eV/atom; calculated formation energy = -348 meV per atom; crystal system = tetragonal
1.0
5.4706 0.0000 0.0000
0.0000 5.4706 0.0000
0.0000 0.0000 5.1173
Cd Sr Rh La
2 1 1 1
direct
0.0000 0.5000 0.0000
0.5000 0.0000 0.0000
0.5000 0.5000 0.5000
0.0000 0.0000 0.0000
0.0000 0.0000 0.5000


Record 13
V2Fe5NiB2, optimized geometry, DFT GGA-PBE; mass density = 7.54 g/cm³; DFT total energy = -8.206 eV/atom; calculated formation energy = -238 meV per atom; crystal system = tetragonal
1.0
2.9476 0.0000 0.0000
0.0000 8.3018 0.0000
0.0000 0.0000 8.3018
Ni B V Fe
2 4 4 10
direct
0.0000 0.0000 0.0000
0.0000 0.5000 0.5000
0.0000 0.8766 0.3766
0.0000 0.3766 0.1234
0.0000 0.1234 0.6234
0.0000 0.6234 0.8766
0.0000 0.8244 0.6756
0.0000 0.3244 0.8244
0.0000 0.1756 0.3244
0.0000 0.6756 0.1756
0.5000 0.5700 0.7135
0.5000 0.0700 0.7865
0.5000 0.7865 0.9300
0.5000 0.4300 0.2865
0.5000 0.2135 0.0700
0.5000 0.9300 0.2135
0.5000 0.2865 0.5700
0.5000 0.0000 0.5000
0.5000 0.5000 0.0000
0.5000 0.7135 0.4300


Record 14
Ag2HgOs, optimized geometry, DFT GGA-PBE; mass density = 14.36 g/cm³; DFT total energy = -3.706 eV/atom; calculated formation energy = 603 meV per atom; crystal system = orthorhombic
1.0
-2.4042 -0.1319 5.8710
-3.2699 -0.6014 -4.1481
-0.7151 -2.4720 0.9191
Ag Os Hg
2 1 1
direct
0.5000 0.0000 0.5000
0.0000 0.0000 0.0000
0.5000 0.5000 0.0000
0.0000 0.5000 0.5000


Record 15
Cr3Re, optimized geometry, DFT GGA-PBE; mass density = 11.25 g/cm³; DFT total energy = -10.313 eV/atom; calculated formation energy = 16 meV per atom; crystal system = orthorhombic
1.0
-3.7433 1.6429 -0.6608
-0.9793 -0.2248 4.9889
1.5021 4.3200 2.2315
Cr Re
6 2
direct
0.7500 0.1225 0.1225
0.2500 0.3684 0.8804
0.7500 0.6316 0.1196
0.2500 0.8775 0.8775
0.2500 0.8804 0.3684
0.7500 0.1196 0.6316
0.7500 0.6271 0.6271
0.2500 0.3729 0.3729


Record 16
Dy3Er6Tm2Mg, optimized geometry, DFT GGA-PBE; mass density = 8.51 g/cm³; DFT total energy = -4.276 eV/atom; calculated formation energy = 34 meV per atom; crystal system = monoclinic
1.0
-4.7261 -3.7077 0.8163
5.4954 -2.2960 -1.1311
1.9091 1.7099 11.2600
Er Dy Tm Mg
6 3 2 1
direct
0.9181 0.5847 0.7528
0.4153 0.0819 0.2472
0.0819 0.4153 0.2472
0.2517 0.2517 0.7520
0.7483 0.7483 0.2480
0.5847 0.9181 0.7528
0.8341 0.1659 0.5000
0.1659 0.8341 0.5000
0.5000 0.5000 0.5000
0.6663 0.3337 0.0000
0.3337 0.6663 0.0000
0.0000 0.0000 0.0000


Record 17
NaCd3Pb, optimized geometry, DFT GGA-PBE; mass density = 7.13 g/cm³; DFT total energy = -1.601 eV/atom; calculated formation energy = -46 meV per atom; crystal system = monoclinic
1.0
5.7582 0.4289 1.8894
2.4891 5.2101 1.8893
0.1809 0.1237 9.2173
Cd Pb Na
6 2 2
direct
0.1784 0.1784 0.5830
0.8216 0.8216 0.4170
0.3581 0.8533 0.3329
0.1467 0.6419 0.6671
0.8533 0.3581 0.3329
0.6419 0.1467 0.6671
0.1656 0.1656 0.9934
0.8344 0.8344 0.0066
0.4036 0.4036 0.1979
0.5964 0.5964 0.8021


Record 18
Zr2HgPb, optimized geometry, DFT GGA-PBE; mass density = 9.96 g/cm³; DFT total energy = -4.928 eV/atom; calculated formation energy = 348 meV per atom; crystal system = cubic
1.0
5.1825 0.0000 0.0000
2.5912 4.4881 0.0000
2.5912 1.4960 4.2315
Hg Zr Pb
1 2 1
direct
0.5000 0.5000 0.5000
0.2500 0.2500 0.2500
0.0000 0.0000 0.0000
0.7500 0.7500 0.7500


Record 19
TiFe2Rh, optimized geometry, DFT GGA-PBE; mass density = 7.58 g/cm³; DFT total energy = -7.942 eV/atom; calculated formation energy = 101 meV per atom; crystal system = tetragonal
1.0
3.5163 0.0000 0.0000
0.0000 3.5163 0.0000
1.7581 1.7581 9.3022
Rh Fe Ti
2 4 2
direct
0.7500 0.2500 0.5000
0.0000 0.0000 0.0000
0.1261 0.6250 0.2500
0.3750 0.3761 0.7500
0.8750 0.8739 0.7500
0.6239 0.1250 0.2500
0.5000 0.5000 0.0000
0.2500 0.7500 0.5000


Record 20
TbLuTlCu, optimized geometry, DFT GGA-PBE; mass density = 10.44 g/cm³; DFT total energy = -4.147 eV/atom; calculated formation energy = -244 meV per atom; crystal system = cubic
1.0
5.1341 0.0000 0.0000
2.5670 4.4462 0.0000
2.5670 1.4821 4.1920
Cu Lu Tl Tb
1 1 1 1
direct
0.2500 0.2500 0.2500
0.5000 0.5000 0.5000
0.7500 0.7500 0.7500
0.0000 0.0000 0.0000


Record 21
Ba2ScCo, optimized geometry, DFT GGA-PBE; mass density = 4.76 g/cm³; DFT total energy = -3.603 eV/atom; calculated formation energy = 718 meV per atom; crystal system = tetragonal
1.0
-5.4812 0.7337 0.7376
0.2976 -2.6847 4.8819
0.7576 3.6748 1.9747
Ba Sc Co
2 1 1
direct
0.0000 0.0000 0.0000
0.5000 0.5000 0.0000
0.0000 0.5000 0.5000
0.5000 0.0000 0.5000


Record 22
TlIr2N, optimized geometry, DFT GGA-PBE; mass density = 15.15 g/cm³; DFT total energy = -6.566 eV/atom; ΔE_f (raw) = 0.54 eV/atom; crystal system = tetragonal
1.0
-2.5363 -1.1873 5.9104
1.7698 -6.2763 -0.5014
2.3382 -3.0683 4.0056
Tl Ir N
2 4 2
direct
0.0000 0.0000 0.0000
0.7500 0.2500 0.5000
0.3750 0.5115 0.7500
0.2615 0.6250 0.2500
0.4885 0.1250 0.2500
0.8750 0.7385 0.7500
0.2500 0.7500 0.5000
0.5000 0.5000 0.0000